# Ta2ZnW

Ta2ZnW after structural relaxation (PBE, the Alexandria database).

```
Ta2ZnW
1.0
3.298 0.000 0.000
0.000 3.298 0.000
0.000 0.000 6.147
Ta Zn W
2 1 1
Cartesian
0.000 0.000 1.524
0.000 0.000 4.623
1.649 1.649 3.073
1.649 1.649 0.000
```

V, Å³/cell: 66.9
DFT formation energy, meV/atom: -18

---

# Na2CaB

Na2CaB after structural relaxation (PBE, the Alexandria database).

```
Na2CaB
1.0
-2.061 2.061 11.399
2.061 -2.061 11.399
2.061 2.061 -11.399
Na Ca B
4 2 2
Cartesian
1.030 0.885 -2.850
1.176 -1.030 14.249
1.030 1.176 8.549
0.885 3.091 2.850
2.061 0.000 5.699
0.000 0.000 11.399
0.000 0.000 0.000
0.000 2.061 5.699
```

V, Å³/cell: 193.6
DFT formation energy, meV/atom: 741

---

# Ho2ErTl

Ho2ErTl after structural relaxation (PBE, the Alexandria database).

```
Ho2ErTl
1.0
0.000 3.843 3.843
3.843 0.000 3.843
3.843 3.843 0.000
Ho Er Tl
2 1 1
Cartesian
1.921 1.921 1.921
5.764 5.764 5.764
0.000 0.000 0.000
3.843 3.843 3.843
```

V, Å³/cell: 113.5
Energy above the lowest structure with this stoichiometry, eV/atom: 0.152
DFT formation energy, meV/atom: -19

---

# TeCCl3

TeCCl3 after structural relaxation (PBE, the Alexandria database).

```
TeCCl3
1.0
4.582 0.000 0.000
0.000 4.582 0.000
0.000 0.000 4.582
Te C Cl
1 1 3
Cartesian
0.000 0.000 0.000
2.291 2.291 2.291
0.000 2.291 2.291
2.291 0.000 2.291
2.291 2.291 0.000
```

V, Å³/cell: 96.2
Energy above the lowest structure with this stoichiometry, eV/atom: 0.000
Formation energy from raw total energies, eV per atom: 1.099

---

# LiLaSn2

LiLaSn2 after structural relaxation (PBE, the Alexandria database).

```
LiLaSn2
1.0
3.651 0.000 0.000
0.000 3.651 0.000
0.000 0.000 7.523
Li La Sn
1 1 2
Cartesian
0.000 0.000 0.000
0.000 0.000 3.762
1.826 1.826 1.528
1.826 1.826 5.995
```

V, Å³/cell: 100.3
DFT formation energy, meV/atom: -525

---

# RbSeCl4

RbSeCl4 after structural relaxation (PBE, the Alexandria database).

```
RbSeCl4
1.0
4.635 -6.762 0.000
4.635 6.762 0.000
-4.140 0.000 6.266
Rb Se Cl
2 2 8
Cartesian
1.531 5.062 4.700
3.600 -5.062 1.567
3.600 1.220 1.567
1.531 -1.220 4.700
1.992 2.937 1.900
-0.228 0.452 4.708
1.842 -0.452 1.574
5.209 2.937 1.233
-0.078 -2.937 5.033
3.289 0.452 4.692
5.359 -0.452 1.559
3.139 -2.937 4.366
```

V, Å³/cell: 392.8
Formation energy from raw total energies, eV per atom: -0.833